! Ge2TeW PBE relaxed; values from VASP
&SYSTEM
  ibrav = 0, nat = 8, ntyp = 3
/
ATOMIC_SPECIES
Te 127.60 Te.upf
W 183.84 W.upf
Ge 72.64 Ge.upf
ATOMIC_POSITIONS angstrom
Te -2.6917 0.0321 3.4086
Te -1.4124 1.6611 7.1707
W -4.4038 3.7209 4.7890
W 0.0000 0.0000 0.0000
Ge -5.0194 3.9386 10.1245
Ge -3.9198 2.4928 2.7048
Ge -2.3591 4.1184 6.1107
Ge -0.3342 0.2143 4.9793
CELL_PARAMETERS angstrom
-5.6832 2.0920 1.0268
0.2997 -2.0277 5.7903
-0.4328 5.3177 5.1426
! ρ (Mg/m³): 6.70
! Raw formation energy (eV per atom): 0.8503

! CaEu3 PBE relaxed; values from VASP
&SYSTEM
  ibrav = 0, nat = 4, ntyp = 2
/
ATOMIC_SPECIES
Ca 40.08 Ca.upf
Eu 151.96 Eu.upf
ATOMIC_POSITIONS angstrom
Ca 0.0000 0.0000 0.0000
Eu -3.3022 -1.7240 1.2216
Eu -1.4650 -3.0520 -1.9769
Eu -3.3053 0.4083 -2.0681
CELL_PARAMETERS angstrom
-1.4681 -0.9197 -5.2666
-1.4619 -5.1843 1.3129
-5.1425 1.7363 1.1303
! E_form (meV per atom): 32
! ρ (Mg/m³): 4.83

! Sc3Re2 PBE relaxed; values from VASP
&SYSTEM
  ibrav = 0, nat = 10, ntyp = 2
/
ATOMIC_SPECIES
Sc 44.96 Sc.upf
Re 186.21 Re.upf
ATOMIC_POSITIONS angstrom
Sc 11.6433 -2.9337 3.1622
Sc 4.2901 -0.5766 0.8499
Sc 13.9998 -1.2907 3.9144
Sc 7.2252 -1.9411 1.9146
Sc 9.8850 -0.7591 2.5034
Sc 8.4354 -2.2880 4.6327
Re 11.9648 0.6619 3.0550
Re 7.6351 0.3866 4.1479
Re 9.3626 -3.9684 2.5481
Re 5.1541 -3.2943 1.1876
CELL_PARAMETERS angstrom
8.6541 -0.5747 0.2052
5.9173 2.4514 4.0677
2.4943 -4.9249 1.0444
! E_form (meV per atom): 156
! ρ (Mg/m³): 9.06

! ErHg2Pb PBE relaxed; values from VASP
&SYSTEM
  ibrav = 0, nat = 4, ntyp = 3
/
ATOMIC_SPECIES
Hg 200.59 Hg.upf
Pb 207.20 Pb.upf
Er 167.26 Er.upf
ATOMIC_POSITIONS angstrom
Hg 2.3795 1.3738 4.5123
Hg 2.3795 1.3738 1.3173
Pb 4.7590 2.7476 3.1445
Er 7.1385 4.1214 5.6984
CELL_PARAMETERS angstrom
4.7590 0.0000 0.0000
2.3795 4.1214 0.0000
2.3795 1.3738 5.8690
! E_form (meV per atom): -166
! ρ (Mg/m³): 11.19

! CeSmTcPt PBE relaxed; values from VASP
&SYSTEM
  ibrav = 0, nat = 4, ntyp = 4
/
ATOMIC_SPECIES
Pt 195.08 Pt.upf
Sm 150.36 Sm.upf
Ce 140.12 Ce.upf
Tc 98.00 Tc.upf
ATOMIC_POSITIONS angstrom
Pt 7.4572 4.3054 3.0444
Sm 4.9715 2.8703 2.0296
Ce 0.0000 0.0000 0.0000
Tc 2.4857 1.4351 1.0148
CELL_PARAMETERS angstrom
4.9715 0.0000 0.0000
2.4857 4.3054 0.0000
2.4857 1.4351 4.0592
! E_form (meV per atom): -435
! ρ (Mg/m³): 11.15

! Nd6TlIn3 PBE relaxed; values from VASP
&SYSTEM
  ibrav = 0, nat = 20, ntyp = 3
/
ATOMIC_SPECIES
Tl 204.38 Tl.upf
Nd 144.24 Nd.upf
In 114.82 In.upf
ATOMIC_POSITIONS angstrom
Tl -1.1149 -7.6596 6.8557
Tl -1.0819 -9.0121 -6.4873
Nd -0.6306 -6.1645 -1.7014
Nd -1.6762 -13.1284 -0.3056
Nd -2.6941 -7.9495 -3.8229
Nd -0.4473 -10.6814 -3.3166
Nd 0.4973 -8.7222 4.1912
Nd -1.7494 -5.9903 3.6849
Nd -1.5662 -10.5072 2.0698
Nd 0.7747 -13.3172 3.1526
Nd -3.3205 -6.5439 -7.1050
Nd -2.9714 -3.3545 -2.7843
Nd 1.1237 -10.1278 7.4733
Nd -0.5206 -3.5433 0.6739
In -2.7725 -1.3086 -0.1786
In -0.0680 -7.4886 1.2073
In -2.1287 -9.1831 -0.8390
In -0.9977 -11.5281 5.2081
In -1.1991 -5.1436 -4.8397
In 0.5757 -15.3631 0.5469
CELL_PARAMETERS angstrom
-3.7085 -0.3500 0.5579
-1.0124 -5.7484 -10.3349
2.5241 -10.5733 10.1453
! E_form (meV per atom): -249
! ρ (Mg/m³): 7.33

! Rb5Pb2Se5 PBE relaxed; values from VASP
&SYSTEM
  ibrav = 0, nat = 12, ntyp = 3
/
ATOMIC_SPECIES
Se 78.96 Se.upf
Pb 207.20 Pb.upf
Rb 85.47 Rb.upf
ATOMIC_POSITIONS angstrom
Se 0.0000 0.0000 0.0000
Se 0.8088 1.3815 8.7096
Se 5.9042 6.2282 7.9530
Se 2.6437 3.9369 12.0564
Se 4.0693 3.6728 4.6062
Pb 1.6133 5.3306 4.5049
Pb 5.0997 2.2791 12.1577
Rb 2.1342 1.9526 1.7826
Rb 4.5788 5.6572 14.8800
Rb 5.2683 6.4666 11.2765
Rb 1.4447 1.1432 5.3861
Rb 3.3565 3.8049 8.3313
CELL_PARAMETERS angstrom
4.7758 0.0000 0.9138
1.9921 7.4641 2.5254
-0.0549 0.1456 13.2233
! ρ (Mg/m³): 4.37
! Raw formation energy (eV per atom): -0.8933

! Ac2ErZr PBE relaxed; values from VASP
&SYSTEM
  ibrav = 0, nat = 4, ntyp = 3
/
ATOMIC_SPECIES
Zr 91.22 Zr.upf
Ac 227.00 Ac.upf
Er 167.26 Er.upf
ATOMIC_POSITIONS angstrom
Zr 0.0000 0.0000 0.0000
Ac -7.4354 0.6731 5.9645
Ac -4.3148 -4.9771 2.3553
Er -5.8751 -2.1520 4.1599
CELL_PARAMETERS angstrom
-2.0870 -2.6535 -1.2217
0.0987 -3.2283 1.5678
-9.7618 1.5778 7.9737
! E_form (meV per atom): 463
! ρ (Mg/m³): 8.46

Look up the ρ of the fifth one. 11.15 Mg/m³

What did the fifth record say?
! CeSmTcPt PBE relaxed; values from VASP
&SYSTEM
  ibrav = 0, nat = 4, ntyp = 4
/
ATOMIC_SPECIES
Pt 195.08 Pt.upf
Sm 150.36 Sm.upf
Ce 140.12 Ce.upf
Tc 98.00 Tc.upf
ATOMIC_POSITIONS angstrom
Pt 7.4572 4.3054 3.0444
Sm 4.9715 2.8703 2.0296
Ce 0.0000 0.0000 0.0000
Tc 2.4857 1.4351 1.0148
CELL_PARAMETERS angstrom
4.9715 0.0000 0.0000
2.4857 4.3054 0.0000
2.4857 1.4351 4.0592
! E_form (meV per atom): -435
! ρ (Mg/m³): 11.15

Repeat the seventh record exactly.
! Rb5Pb2Se5 PBE relaxed; values from VASP
&SYSTEM
  ibrav = 0, nat = 12, ntyp = 3
/
ATOMIC_SPECIES
Se 78.96 Se.upf
Pb 207.20 Pb.upf
Rb 85.47 Rb.upf
ATOMIC_POSITIONS angstrom
Se 0.0000 0.0000 0.0000
Se 0.8088 1.3815 8.7096
Se 5.9042 6.2282 7.9530
Se 2.6437 3.9369 12.0564
Se 4.0693 3.6728 4.6062
Pb 1.6133 5.3306 4.5049
Pb 5.0997 2.2791 12.1577
Rb 2.1342 1.9526 1.7826
Rb 4.5788 5.6572 14.8800
Rb 5.2683 6.4666 11.2765
Rb 1.4447 1.1432 5.3861
Rb 3.3565 3.8049 8.3313
CELL_PARAMETERS angstrom
4.7758 0.0000 0.9138
1.9921 7.4641 2.5254
-0.0549 0.1456 13.2233
! ρ (Mg/m³): 4.37
! Raw formation energy (eV per atom): -0.8933